[1]
{
  "formula": "KLi4Pb",
  "functional": "PBE",
  "state": "optimized geometry",
  "e_tot_ev_per_atom": -2.145,
  "e_form_mev_per_atom": -68,
  "dos_at_fermi_per_ev_cell": 2.33,
  "density_g_cm3": 3.2,
  "lattice": [[0.000, 4.147, 4.147], [4.147, 0.000, 4.147], [4.147, 4.147, 0.000]],
  "species": ["K", "Li", "Li", "Li", "Li", "Pb"],
  "fractional_positions": [[0.000, 0.000, 0.000], [0.134, 0.622, 0.622], [0.622, 0.134, 0.622], [0.622, 0.622, 0.134], [0.622, 0.622, 0.622], [0.250, 0.250, 0.250]]
}

[2]
{
  "formula": "InAg2Cl6",
  "functional": "PBE",
  "state": "optimized geometry",
  "e_tot_ev_per_atom": -2.865,
  "dos_at_fermi_per_ev_cell": 9.86,
  "density_g_cm3": 3.8,
  "raw_formation_energy_mev_per_atom": -696,
  "lattice": [[6.596, 0.000, 0.000], [0.000, 6.378, 0.000], [-5.900, 0.000, 11.297]],
  "species": ["In", "In", "Ag", "Ag", "Ag", "Ag", "Cl", "Cl", "Cl", "Cl", "Cl", "Cl", "Cl", "Cl", "Cl", "Cl", "Cl", "Cl"],
  "fractional_positions": [[0.000, 0.000, 0.000], [0.000, 0.500, 0.500], [0.320, 0.037, 0.822], [0.320, 0.463, 0.322], [0.680, 0.537, 0.678], [0.680, 0.963, 0.178], [0.031, 0.244, 0.355], [0.031, 0.256, 0.855], [0.285, 0.725, 0.474], [0.285, 0.775, 0.974], [0.355, 0.183, 0.180], [0.355, 0.317, 0.680], [0.645, 0.683, 0.320], [0.645, 0.817, 0.820], [0.715, 0.225, 0.026], [0.715, 0.275, 0.526], [0.969, 0.744, 0.145], [0.969, 0.756, 0.645]]
}

[3]
{
  "formula": "TaTiMn",
  "functional": "PBE",
  "state": "optimized geometry",
  "e_tot_ev_per_atom": -9.397,
  "e_form_mev_per_atom": 242,
  "dos_at_fermi_per_ev_cell": 11.46,
  "density_g_cm3": 9.2,
  "lattice": [[8.595, 0.000, 0.000], [0.000, 4.019, 0.000], [0.000, 0.000, 5.922]],
  "species": ["Ta", "Ta", "Ta", "Ta", "Ti", "Ti", "Ti", "Ti", "Mn", "Mn", "Mn", "Mn"],
  "fractional_positions": [[0.128, 0.250, 0.021], [0.372, 0.750, 0.521], [0.628, 0.250, 0.479], [0.872, 0.750, 0.979], [0.120, 0.250, 0.523], [0.380, 0.750, 0.023], [0.620, 0.250, 0.977], [0.880, 0.750, 0.477], [0.127, 0.750, 0.764], [0.373, 0.250, 0.264], [0.627, 0.750, 0.736], [0.873, 0.250, 0.236]]
}

[4]
{
  "formula": "ZnAs2C",
  "functional": "PBE",
  "state": "optimized geometry",
  "e_tot_ev_per_atom": -3.519,
  "e_form_mev_per_atom": 1430,
  "dos_at_fermi_per_ev_cell": 10.34,
  "density_g_cm3": 6.2,
  "lattice": [[6.255, 0.000, 0.000], [0.000, 6.255, 0.000], [0.000, 0.000, 6.255]],
  "species": ["Zn", "Zn", "Zn", "Zn", "As", "As", "As", "As", "As", "As", "As", "As", "C", "C", "C", "C"],
  "fractional_positions": [[0.000, 0.000, 0.000], [0.000, 0.500, 0.500], [0.500, 0.000, 0.500], [0.500, 0.500, 0.000], [0.250, 0.250, 0.250], [0.250, 0.250, 0.750], [0.250, 0.750, 0.250], [0.250, 0.750, 0.750], [0.750, 0.250, 0.250], [0.750, 0.250, 0.750], [0.750, 0.750, 0.250], [0.750, 0.750, 0.750], [0.000, 0.000, 0.500], [0.000, 0.500, 0.000], [0.500, 0.000, 0.000], [0.500, 0.500, 0.500]]
}